1.
Density functional theory data (PBE-GGA) for crystalline ScIr2 at its relaxed geometry.

POSCAR file:
```
ScIr2
1.0
6.3133 -0.0001 0.0000
5.0358 3.8077 0.0000
-5.6746 -1.9038 2.0082
Ir Sc
2 1
direct
0.0060 0.0060 0.0000
0.6607 0.6607 0.0000
0.3333 0.3333 0.0000
```

Output
formation energy: -1.31 eV/f.u.
Fermi-level density of states: 1.093 states/eV per atom
SG: No. 139

---

2.
Density functional theory data (PBE-GGA) for crystalline Ho6BiP2S3 at its relaxed geometry.

POSCAR file:
```
Ho6BiP2S3
1.0
4.0151 0.0000 0.0000
0.0000 8.0762 0.3440
-2.0075 -2.2707 8.4485
Ho Bi P S
6 1 2 3
direct
0.3237 0.8983 0.6475
0.6701 0.5787 0.3403
0.6763 0.1017 0.3525
0.0048 0.2765 0.0096
0.9952 0.7235 0.9904
0.3299 0.4213 0.6597
0.5000 0.0000 0.0000
0.8319 0.6635 0.6639
0.1681 0.3365 0.3361
0.5000 0.5000 0.0000
0.8362 0.1671 0.6724
0.1638 0.8329 0.3276
```

Output
Fermi-level density of states: 0.326 states/eV per atom
DFT total energy: -74.35 eV per cell
SG: No. 12

---

3.
Density functional theory data (PBE-GGA) for crystalline SrMg2Tl2Cd2 at its relaxed geometry.

POSCAR file:
```
SrMg2Tl2Cd2
1.0
-2.4906 -3.4957 -2.7122
2.0075 -1.7699 -4.3147
3.8326 -8.0437 2.0954
Sr Mg Tl Cd
1 2 2 2
direct
0.0000 0.0000 0.0000
0.1403 0.1403 0.5791
0.8597 0.8597 0.4209
0.5726 0.5726 0.2822
0.4274 0.4274 0.7178
0.7408 0.7408 0.7776
0.2592 0.2592 0.2224
```

Output
formation energy: -0.80 eV/f.u.
Fermi-level density of states: 0.486 states/eV per atom
SG: No. 166

---

4.
Density functional theory data (PBE-GGA) for crystalline RbGe2SbI8 at its relaxed geometry.

POSCAR file:
```
RbGe2SbI8
1.0
7.6023 0.6274 0.5439
0.6208 7.7539 0.7398
0.6623 1.0270 9.9544
Rb Ge Sb I
1 2 1 8
direct
0.0000 0.0000 0.5000
0.4553 0.4370 0.7327
0.5447 0.5630 0.2673
0.0000 0.0000 0.0000
0.1742 0.7355 0.2320
0.7050 0.7687 0.0281
0.7809 0.2156 0.2034
0.8258 0.2645 0.7680
0.2950 0.2313 0.9719
0.2191 0.7844 0.7966
0.6344 0.7115 0.4689
0.3656 0.2885 0.5311
```

Output
DFT total energy: -32.21 eV per cell
SG: No. 2